P.
Material: CoC2
Method: DFT, PBE
State: optimized geometry

Cell and atoms, written as POSCAR:
```
CoC2
1.0
3.243 0.000 0.000
1.622 2.809 0.000
1.622 0.936 2.648
Co C
1 2
Cartesian
0.000 0.000 0.000
1.622 0.936 0.662
4.865 2.809 1.986
```

## Properties
space-group type	Fm-3m (225)
crystal system	cubic


Q.
Material: CoC2
Method: DFT, PBE
State: optimized geometry

Cell and atoms, written as POSCAR:
```
CoC2
1.0
2.508 0.000 0.000
0.000 7.009 0.000
0.000 0.000 6.331
C Co
8 4
Cartesian
0.627 0.671 1.791
1.881 2.834 4.956
1.881 1.246 1.419
0.627 5.763 4.912
0.627 4.175 1.375
1.881 4.750 1.746
1.881 6.338 4.540
0.627 2.259 4.585
0.627 2.479 0.380
0.627 5.984 2.785
1.881 1.025 3.545
1.881 4.530 5.951
```

## Properties
space-group type	Pnma (62)
crystal system	orthorhombic


R.
Material: CoC2
Method: DFT, PBE
State: optimized geometry

Cell and atoms, written as POSCAR:
```
CoC2
1.0
2.440 0.000 0.000
-1.220 2.113 0.000
0.000 0.000 8.287
C Co
2 1
Cartesian
0.000 1.409 4.143
1.220 0.704 4.143
0.000 0.000 0.000
```

## Properties
space-group type	P6/mmm (191)
crystal system	hexagonal


The structure shown above that is most stable: R.